VASP calculation (GGA-PBE) on a geometry-optimized RbSn4Pb structure.

Cell: 11.9794 9.4307 9.5386 Å, 90.92 112.98 112.69°
Element x y z (fractional)
Rb 0.6309 0.3150 0.8156
Rb 0.3691 0.6850 0.1844
Rb 0.0020 0.7455 0.7449
Rb 0.9980 0.2545 0.2551
Sn 0.5854 0.1324 0.1453
Sn 0.4150 0.5476 0.5598
Sn 0.4146 0.8676 0.8547
Sn 0.0001 0.6252 0.1081
Sn 0.0021 0.1060 0.6261
Sn 0.9979 0.8940 0.3739
Sn 0.9999 0.3748 0.8919
Sn 0.5850 0.4524 0.4402
Sn 0.4710 0.1006 0.3775
Sn 0.1764 0.2002 0.9746
Sn 0.8236 0.7998 0.0254
Sn 0.8248 0.0228 0.7965
Sn 0.1752 0.9772 0.2035
Sn 0.5290 0.8994 0.6225
Sn 0.5280 0.6290 0.9057
Sn 0.4720 0.3710 0.0943
Pb 0.1810 0.4709 0.7062
Pb 0.1827 0.7132 0.4739
Pb 0.8173 0.2868 0.5261
Pb 0.8190 0.5291 0.2938

Its formation enthalpy at 0 K is -0.048 eV/atom. The space group is P-1, No. 2. As for the crystal system: triclinic.